# 1
A relaxed structure of VSb2TeSe. Source: the Alexandria database, functional GGA-PBE.

a b c (Å): 5.3468 5.3468 5.3344
angles (deg): 90.00 90.00 90.00
Element x y z (fractional)
V (0.0000, 0.0000, 0.0000)
Sb (0.0000, 0.5000, 0.5000)
Sb (0.5000, 0.0000, 0.5000)
Te (0.5000, 0.5000, 0.0000)
Se (0.5000, 0.5000, 0.5000)

* formation energy without anion corrections: 1.1565 eV per atom
* theoretical density: 5455 kg/m3
* spin magnetization: 0.03 Bohr magnetons per cell
* space group: P4/mmm
* VASP energy: -0.2676 Ry per atom

=====

# 2
A relaxed structure of LuTiAlCd. Source: the Alexandria database, functional GGA-PBE.

a b c (Å): 6.8739 6.8739 6.8739
angles (deg): 90.00 90.00 90.00
Element x y z (fractional)
Lu (0.0000, 0.0000, 0.0000)
Lu (0.0000, 0.5000, 0.5000)
Lu (0.5000, 0.0000, 0.5000)
Lu (0.5000, 0.5000, 0.0000)
Ti (0.0000, 0.0000, 0.5000)
Ti (0.0000, 0.5000, 0.0000)
Ti (0.5000, 0.0000, 0.0000)
Ti (0.5000, 0.5000, 0.5000)
Al (0.2500, 0.2500, 0.7500)
Al (0.2500, 0.7500, 0.2500)
Al (0.7500, 0.2500, 0.2500)
Al (0.7500, 0.7500, 0.7500)
Cd (0.2500, 0.2500, 0.2500)
Cd (0.2500, 0.7500, 0.7500)
Cd (0.7500, 0.2500, 0.7500)
Cd (0.7500, 0.7500, 0.2500)

* theoretical density: 7408 kg/m3
* spin magnetization: 0.32 Bohr magnetons per cell
* space group: F-43m
* VASP energy: -0.3238 Ry per atom

=====

# 3
A relaxed structure of NpP2W. Source: the Alexandria database, functional GGA-PBE.

a b c (Å): 3.7917 3.7917 17.1156
angles (deg): 90.00 90.00 120.00
Element x y z (fractional)
Np (0.0000, 0.0000, 0.0000)
Np (0.3333, 0.6667, 0.6667)
Np (0.6667, 0.3333, 0.3333)
P (0.0000, 0.0000, 0.2396)
P (0.0000, 0.0000, 0.7604)
P (0.3333, 0.6667, 0.4270)
P (0.3333, 0.6667, 0.9063)
P (0.6667, 0.3333, 0.0937)
P (0.6667, 0.3333, 0.5730)
W (0.0000, 0.0000, 0.5000)
W (0.3333, 0.6667, 0.1667)
W (0.6667, 0.3333, 0.8333)

* theoretical density: 11286 kg/m3
* spin magnetization: 11.97 Bohr magnetons per cell
* space group: R-3m
* VASP energy: -0.7079 Ry per atom

=====

# 4
A relaxed structure of KNa2Si12B3O30. Source: the Alexandria database, functional GGA-PBE.

a b c (Å): 10.3672 10.3672 13.6760
angles (deg): 90.00 90.00 120.00
Element x y z (fractional)
K (0.0000, 0.0000, 0.2500)
K (0.0000, 0.0000, 0.7500)
Na (0.3333, 0.6667, 0.2500)
Na (0.3333, 0.6667, 0.7500)
Na (0.6667, 0.3333, 0.2500)
Na (0.6667, 0.3333, 0.7500)
Si (0.0686, 0.3378, 0.1130)
Si (0.0686, 0.3378, 0.8870)
Si (0.0686, 0.7308, 0.3870)
Si (0.0686, 0.7308, 0.6130)
Si (0.2692, 0.3378, 0.3870)
Si (0.2692, 0.3378, 0.6130)
Si (0.2692, 0.9314, 0.1130)
Si (0.2692, 0.9314, 0.8870)
Si (0.3378, 0.0686, 0.3870)
Si (0.3378, 0.0686, 0.6130)
Si (0.3378, 0.2692, 0.1130)
Si (0.3378, 0.2692, 0.8870)
Si (0.6622, 0.7308, 0.1130)
Si (0.6622, 0.7308, 0.8870)
Si (0.6622, 0.9314, 0.3870)
Si (0.6622, 0.9314, 0.6130)
Si (0.7308, 0.0686, 0.1130)
Si (0.7308, 0.0686, 0.8870)
Si (0.7308, 0.6622, 0.3870)
Si (0.7308, 0.6622, 0.6130)
Si (0.9314, 0.2692, 0.3870)
Si (0.9314, 0.2692, 0.6130)
Si (0.9314, 0.6622, 0.1130)
Si (0.9314, 0.6622, 0.8870)
B (0.0000, 0.5000, 0.2500)
B (0.0000, 0.5000, 0.7500)
B (0.5000, 0.0000, 0.2500)
B (0.5000, 0.0000, 0.7500)
B (0.5000, 0.5000, 0.2500)
B (0.5000, 0.5000, 0.7500)
O (0.0823, 0.3941, 0.0000)
O (0.0823, 0.6881, 0.5000)
O (0.0932, 0.2822, 0.3680)
O (0.0932, 0.2822, 0.6320)
O (0.0932, 0.8110, 0.1320)
O (0.0932, 0.8110, 0.8680)
O (0.0998, 0.4708, 0.1878)
O (0.0998, 0.4708, 0.8122)
O (0.0998, 0.6290, 0.3122)
O (0.0998, 0.6290, 0.6878)
O (0.1890, 0.2822, 0.1320)
O (0.1890, 0.2822, 0.8680)
O (0.1890, 0.9068, 0.3680)
O (0.1890, 0.9068, 0.6320)
O (0.2822, 0.0932, 0.1320)
O (0.2822, 0.0932, 0.8680)
O (0.2822, 0.1890, 0.3680)
O (0.2822, 0.1890, 0.6320)
O (0.3119, 0.3941, 0.5000)
O (0.3119, 0.9177, 0.0000)
O (0.3710, 0.4708, 0.3122)
O (0.3710, 0.4708, 0.6878)
O (0.3710, 0.9002, 0.1878)
O (0.3710, 0.9002, 0.8122)
O (0.3941, 0.0823, 0.5000)
O (0.3941, 0.3119, 0.0000)
O (0.4708, 0.0998, 0.3122)
O (0.4708, 0.0998, 0.6878)
O (0.4708, 0.3710, 0.1878)
O (0.4708, 0.3710, 0.8122)
O (0.5292, 0.6290, 0.1878)
O (0.5292, 0.6290, 0.8122)
O (0.5292, 0.9002, 0.3122)
O (0.5292, 0.9002, 0.6878)
O (0.6059, 0.6881, 0.0000)
O (0.6059, 0.9177, 0.5000)
O (0.6290, 0.0998, 0.1878)
O (0.6290, 0.0998, 0.8122)
O (0.6290, 0.5292, 0.3122)
O (0.6290, 0.5292, 0.6878)
O (0.6881, 0.0823, 0.0000)
O (0.6881, 0.6059, 0.5000)
O (0.7178, 0.8110, 0.3680)
O (0.7178, 0.8110, 0.6320)
O (0.7178, 0.9068, 0.1320)
O (0.7178, 0.9068, 0.8680)
O (0.8110, 0.0932, 0.3680)
O (0.8110, 0.0932, 0.6320)
O (0.8110, 0.7178, 0.1320)
O (0.8110, 0.7178, 0.8680)
O (0.9002, 0.3710, 0.3122)
O (0.9002, 0.3710, 0.6878)
O (0.9002, 0.5292, 0.1878)
O (0.9002, 0.5292, 0.8122)
O (0.9068, 0.1890, 0.1320)
O (0.9068, 0.1890, 0.8680)
O (0.9068, 0.7178, 0.3680)
O (0.9068, 0.7178, 0.6320)
O (0.9177, 0.3119, 0.5000)
O (0.9177, 0.6059, 0.0000)

* formation energy without anion corrections: -2.6857 eV per atom
* theoretical density: 2438 kg/m3
* spin magnetization: 0.00 Bohr magnetons per cell
* space group: P6/mcc
* VASP energy: -0.5612 Ry per atom

=====

# 5
A relaxed structure of Ca2ScHgPd. Source: the Alexandria database, functional GGA-PBE.

a b c (Å): 5.6203 5.6203 5.1234
angles (deg): 90.00 90.00 90.00
Element x y z (fractional)
Ca (0.0000, 0.5000, 0.0000)
Ca (0.5000, 0.0000, 0.0000)
Sc (0.0000, 0.0000, 0.5000)
Hg (0.5000, 0.5000, 0.0000)
Pd (0.5000, 0.5000, 0.5000)

* theoretical density: 4434 kg/m3
* spin magnetization: 0.00 Bohr magnetons per cell
* space group: P4/mmm
* VASP energy: -0.2112 Ry per atom

=====

# 6
A relaxed structure of BaIr2Rh. Source: the Alexandria database, functional GGA-PBE.

a b c (Å): 6.8060 6.8060 6.8060
angles (deg): 90.00 90.00 90.00
Element x y z (fractional)
Ba (0.0000, 0.0000, 0.0000)
Ba (0.0000, 0.5000, 0.5000)
Ba (0.5000, 0.0000, 0.5000)
Ba (0.5000, 0.5000, 0.0000)
Ir (0.2500, 0.2500, 0.2500)
Ir (0.2500, 0.2500, 0.7500)
Ir (0.2500, 0.7500, 0.2500)
Ir (0.2500, 0.7500, 0.7500)
Ir (0.7500, 0.2500, 0.2500)
Ir (0.7500, 0.2500, 0.7500)
Ir (0.7500, 0.7500, 0.2500)
Ir (0.7500, 0.7500, 0.7500)
Rh (0.0000, 0.0000, 0.5000)
Rh (0.0000, 0.5000, 0.0000)
Rh (0.5000, 0.0000, 0.0000)
Rh (0.5000, 0.5000, 0.5000)

* theoretical density: 13161 kg/m3
* spin magnetization: 10.74 Bohr magnetons per cell
* space group: Fm-3m
* VASP energy: -0.4261 Ry per atom

=====

# 7
A relaxed structure of Cs3NaTe2O8. Source: the Alexandria database, functional GGA-PBE.

a b c (Å): 6.5283 6.5283 8.4464
angles (deg): 90.00 90.00 120.00
Element x y z (fractional)
Cs (0.0000, 0.0000, 0.0000)
Cs (0.3333, 0.6667, 0.6762)
Cs (0.6667, 0.3333, 0.3238)
Na (0.0000, 0.0000, 0.5000)
Te (0.3333, 0.6667, 0.2368)
Te (0.6667, 0.3333, 0.7632)
O (0.1798, 0.3595, 0.3137)
O (0.1798, 0.8202, 0.3137)
O (0.3333, 0.6667, 0.0190)
O (0.3595, 0.1798, 0.6863)
O (0.6405, 0.8202, 0.3137)
O (0.6667, 0.3333, 0.9810)
O (0.8202, 0.1798, 0.6863)
O (0.8202, 0.6405, 0.6863)

* formation energy without anion corrections: -1.3843 eV per atom
* theoretical density: 4287 kg/m3
* spin magnetization: 0.00 Bohr magnetons per cell
* space group: P-3m1
* VASP energy: -0.3633 Ry per atom

=====

# 8
A relaxed structure of Tm8Mg3Sc2. Source: the Alexandria database, functional GGA-PBE.

a b c (Å): 8.3071 8.3071 6.3356
angles (deg): 97.38 97.38 62.36
Element x y z (fractional)
Tm (0.0685, 0.6981, 0.0738)
Tm (0.0890, 0.0890, 0.3818)
Tm (0.3019, 0.9315, 0.9262)
Tm (0.3032, 0.3032, 0.7015)
Tm (0.6968, 0.6968, 0.2985)
Tm (0.6981, 0.0685, 0.0738)
Tm (0.9110, 0.9110, 0.6182)
Tm (0.9315, 0.3019, 0.9262)
Mg (0.3354, 0.6646, 0.5000)
Mg (0.5000, 0.5000, 0.0000)
Mg (0.6646, 0.3354, 0.5000)
Sc (0.2970, 0.2970, 0.2019)
Sc (0.7030, 0.7030, 0.7981)

* theoretical density: 6567 kg/m3
* spin magnetization: 0.00 Bohr magnetons per cell
* space group: C2/m
* VASP energy: -0.2843 Ry per atom